Record 1
This record from Alexandria describes crystalline KCr2Os at its relaxed geometry. The functional is PBE.

Lattice parameters (Å, degrees): 3.8019 2.8070 7.5105 89.42 90.00 90.00
Positions (direct):
Cr 0.0000 0.2458 0.8849
Cr 0.0000 0.2542 0.6151
K 0.5000 0.2500 0.2500
Os 0.5000 0.7500 0.7500

Summary:
- energy (eV/atom) = -7.115
- formation enthalpy at 0 K (kcal/mol of atoms) = 18.0

Record 2
This record from Alexandria describes crystalline KCr2Os at its relaxed geometry. The functional is PBE.

Lattice parameters (Å, degrees): 2.9654 5.1665 4.6687 90.00 90.00 90.00
Each line ends with the local moment (μB).
Positions (direct):
Cr 0.0000 0.0000 0.0000  3.77
Cr 0.5000 0.5000 0.0000  -2.89
K 0.5000 0.0000 0.5000  0.07
Os 0.0000 0.5000 0.5000  0.79

Summary:
- energy (eV/atom) = -6.392
- formation enthalpy at 0 K (kcal/mol of atoms) = 34.6

Record 3
This record from Alexandria describes crystalline KCr2Os at its relaxed geometry. The functional is PBE.

Lattice parameters (Å, degrees): 5.2384 5.2384 5.2384 133.55 133.55 67.78
Each line ends with the local moment (μB).
Positions (direct):
Cr 0.0000 0.0000 0.0000  3.45
Cr 0.7500 0.2500 0.5000  3.52
K 0.5000 0.5000 0.0000  0.06
Os 0.2500 0.7500 0.5000  -0.88

Summary:
- energy (eV/atom) = -6.245
- formation enthalpy at 0 K (kcal/mol of atoms) = 38.0

Record 4
This record from Alexandria describes crystalline K2CrOs at its relaxed geometry. The functional is PBE.

Lattice parameters (Å, degrees): 2.8637 2.8637 11.6317 90.00 90.00 90.00
Each line ends with the local moment (μB).
Positions (direct):
Cr 0.5000 0.5000 0.7500  3.84
K 0.0000 0.0000 0.0204  0.00
K 0.0000 0.0000 0.4796  0.00
Os 0.5000 0.5000 0.2500  0.50

Summary:
- energy (eV/atom) = -4.246
- formation enthalpy at 0 K (kcal/mol of atoms) = 34.9

Record 5
This record from Alexandria describes crystalline KCr3Os at its relaxed geometry. The functional is PBE.

Lattice parameters (Å, degrees): 4.8800 4.8800 4.8800 90.00 90.00 90.00
Each line ends with the local moment (μB).
Positions (direct):
Cr 0.0000 0.5000 0.0000  3.15
Cr 0.0000 0.0000 0.5000  2.92
Cr 0.5000 0.0000 0.0000  3.47
K 0.5000 0.5000 0.5000  0.02
Os 0.0000 0.0000 0.0000  -0.71

Summary:
- energy (eV/atom) = -7.067
- formation enthalpy at 0 K (kcal/mol of atoms) = 27.0

Record 6
This record from Alexandria describes crystalline KCr2Os at its relaxed geometry. The functional is PBE.

Lattice parameters (Å, degrees): 2.8977 4.9487 4.9487 90.00 90.00 90.00
Each line ends with the local moment (μB).
Positions (direct):
Cr 0.0000 0.0000 0.0000  3.41
Cr 0.0000 0.5000 0.5000  3.41
K 0.5000 0.5000 0.0000  0.11
Os 0.5000 0.0000 0.5000  -0.92

Summary:
- energy (eV/atom) = -6.497
- formation enthalpy at 0 K (kcal/mol of atoms) = 32.2

Record 7
This record from Alexandria describes crystalline KCr2Os at its relaxed geometry. The functional is PBE.

Lattice parameters (Å, degrees): 4.6521 4.6521 4.6521 60.00 60.00 60.00
Each line ends with the local moment (μB).
Positions (direct):
Cr 0.2500 0.2500 0.2500  3.30
Cr 0.7500 0.7500 0.7500  3.30
K 0.0000 0.0000 0.0000  0.06
Os 0.5000 0.5000 0.5000  -0.87

Summary:
- energy (eV/atom) = -6.432
- formation enthalpy at 0 K (kcal/mol of atoms) = 33.7

Record 8
This record from Alexandria describes crystalline KCr2Os at its relaxed geometry. The functional is PBE.

Lattice parameters (Å, degrees): 5.6786 5.6786 8.6153 70.76 70.76 90.00
Each line ends with the local moment (μB).
Positions (direct):
Cr 0.8750 0.1250 0.2500  3.25
Cr 0.8750 0.6250 0.2500  3.25
Cr 0.3750 0.1250 0.7500  3.23
Cr 0.8750 0.1250 0.7500  3.26
K 0.5000 0.5000 0.0000  0.02
K 0.2500 0.7500 0.5000  0.02
Os 0.0000 0.0000 0.0000  -0.72
Os 0.7500 0.2500 0.5000  -0.72

Summary:
- energy (eV/atom) = -6.502
- formation enthalpy at 0 K (kcal/mol of atoms) = 32.1

Record 9
This record from Alexandria describes crystalline KCr2Os at its relaxed geometry. The functional is PBE.

Lattice parameters (Å, degrees): 4.6006 4.6006 4.6006 60.00 60.00 60.00
Each line ends with the local moment (μB).
Positions (direct):
Cr 0.0000 0.0000 0.0000  -2.71
Cr 0.2500 0.2500 0.2500  3.42
K 0.5000 0.5000 0.5000  0.05
Os 0.7500 0.7500 0.7500  0.76

Summary:
- energy (eV/atom) = -6.407
- formation enthalpy at 0 K (kcal/mol of atoms) = 34.3

Record 10
This record from Alexandria describes crystalline K2CrOs at its relaxed geometry. The functional is PBE.

Lattice parameters (Å, degrees): 10.3739 10.3739 3.8963 80.94 80.94 16.94
Each line ends with the local moment (μB).
Positions (direct):
Cr 0.2500 0.2500 0.2500  2.31
K 0.1026 0.1026 0.8855  0.01
K 0.3974 0.3974 0.6145  0.01
Os 0.7500 0.7500 0.7500  -0.53

Summary:
- energy (eV/atom) = -4.957
- formation enthalpy at 0 K (kcal/mol of atoms) = 18.6

Record 11
This record from Alexandria describes crystalline K2CrOs at its relaxed geometry. The functional is PBE.

Lattice parameters (Å, degrees): 6.3548 6.3548 6.3548 143.81 143.81 52.11
Each line ends with the local moment (μB).
Positions (direct):
Cr 0.7500 0.2500 0.5000  3.25
K 0.0000 0.0000 0.0000  0.02
K 0.5000 0.5000 0.0000  0.02
Os 0.2500 0.7500 0.5000  -1.17

Summary:
- energy (eV/atom) = -4.312
- formation enthalpy at 0 K (kcal/mol of atoms) = 33.4

Record 12
This record from Alexandria describes crystalline K2CrOs at its relaxed geometry. The functional is PBE.

Lattice parameters (Å, degrees): 2.8210 5.7079 5.6440 90.00 90.00 90.00
Each line ends with the local moment (μB).
Positions (direct):
Cr 0.5000 0.5000 0.7500  3.73
K 0.0000 0.0000 0.0055  0.02
K 0.0000 0.0000 0.4945  0.02
Os 0.5000 0.5000 0.2500  -0.21

Summary:
- energy (eV/atom) = -4.295
- formation enthalpy at 0 K (kcal/mol of atoms) = 33.8

Number 1: excess energy over the best structure of this formula in the dataset 0.2 kJ per mole of atoms. Number 2: excess energy over the best structure of this formula in the dataset 70.0 kJ per mole of atoms. Number 3: excess energy over the best structure of this formula in the dataset 84.2 kJ per mole of atoms. Number 4: excess energy over the best structure of this formula in the dataset 72.4 kJ per mole of atoms. Number 5: excess energy over the best structure of this formula in the dataset 0.0 kJ per mole of atoms. Number 6: excess energy over the best structure of this formula in the dataset 59.8 kJ per mole of atoms. Number 7: excess energy over the best structure of this formula in the dataset 66.1 kJ per mole of atoms. Number 8: excess energy over the best structure of this formula in the dataset 59.3 kJ per mole of atoms. Number 9: excess energy over the best structure of this formula in the dataset 68.5 kJ per mole of atoms. Number 10: excess energy over the best structure of this formula in the dataset 3.9 kJ per mole of atoms. Number 11: excess energy over the best structure of this formula in the dataset 66.1 kJ per mole of atoms. Number 12: excess energy over the best structure of this formula in the dataset 67.8 kJ per mole of atoms.